Entry from the Alexandria database: a relaxed structure of CdAg2Os (PBE-GGA).

Lattice parameters (Å, degrees): 2.8144 2.8144 8.7355 90.00 90.00 90.00
With the nearest neighbours (Å) after each atom.
Element x y z (fractional)
Cd (0.0000, 0.0000, 0.0000)  4 Cd 2.81, 4 Os 2.93, 4 Ag 3.03
Ag (0.0000, 0.0000, 0.4856)  8 Ag 2.81-2.97, 4 Os 2.88
Ag (0.5000, 0.5000, 0.7385)  8 Ag 2.81-2.97, 4 Cd 3.03
Os (0.5000, 0.5000, 0.2465)  4 Os 2.81, 4 Ag 2.88, 4 Cd 2.93

Calculated values
The total magnetization is 0.550 μB/f.u. The formation energy comes out at 0.478 eV per atom. The electronic total energy comes out at -3.98 eV per atom.

Entry from the Alexandria database: a relaxed structure of CdAg2Os (PBE-GGA).

Lattice parameters (Å, degrees): 2.9232 4.7840 9.9012 90.00 90.00 90.00
With the nearest neighbours (Å) after each atom.
Element x y z (fractional)
Cd (0.0000, 0.0000, 0.0000)  6 Cd 2.80-2.92, 2 Os 2.86, 2 Ag 2.94
Cd (0.5000, 0.5000, 0.0000)  6 Cd 2.80-2.92, 2 Os 2.86, 2 Ag 2.94
Ag (0.0000, 0.0000, 0.5072)  8 Ag 2.80-2.92, 2 Os 2.83
Ag (0.0000, 0.5000, 0.2581)  8 Ag 2.80-2.92, 2 Cd 2.94
Ag (0.5000, 0.0000, 0.2581)  8 Ag 2.80-2.92, 2 Cd 2.94
Ag (0.5000, 0.5000, 0.5072)  8 Ag 2.80-2.92, 2 Os 2.83
Os (0.0000, 0.5000, 0.7515)  6 Os 2.80-2.92, 2 Ag 2.83, 2 Cd 2.86
Os (0.5000, 0.0000, 0.7515)  6 Os 2.80-2.92, 2 Ag 2.83, 2 Cd 2.86

Calculated values
The total magnetization is 0.002 μB/f.u. The formation energy comes out at 0.437 eV per atom. The electronic total energy comes out at -4.03 eV per atom.